Record 1
Material: NbAgSeCl2
Method: DFT, GGA-PBEsol
State: optimized geometry

a = 4.9423 Å, b = 4.9423 Å, c = 5.0003 Å
α = 90.00°, β = 90.00°, γ = 90.00°
Space group P4/mmm (No. 123)
Inequivalent atoms, fractional coordinates:
Nb  0.0000  0.0000  0.0000 x1
Ag  0.5000  0.5000  0.0000 x1
Se  0.5000  0.5000  0.5000 x1
Cl  0.0000  0.5000  0.5000 x2

For the size of the total moment, the calculation gives 3.94 μB per formula unit. Its total energy is -3.423 eV per atom.


Record 2
Material: Tl3Co
Method: DFT, GGA-PBEsol
State: optimized geometry

a = 3.3298 Å, b = 3.3298 Å, c = 9.3474 Å
α = 90.00°, β = 90.00°, γ = 120.00°
Space group P-6m2 (No. 187)
Inequivalent atoms, fractional coordinates:
Tl  0.0000  0.0000  0.0000 x1
Tl  0.3333  0.6667  0.3010 x2
Co  0.0000  0.0000  0.5000 x1

For the size of the total moment, the calculation gives 0.98 μB per formula unit. The calculation puts the energy of formation at 0.4036 eV per atom.


Record 3
Material: RbAuN3
Method: DFT, GGA-PBEsol
State: optimized geometry

a = 5.3996 Å, b = 5.3996 Å, c = 5.3996 Å
α = 90.00°, β = 90.00°, γ = 90.00°
Space group Pm-3m (No. 221)
Inequivalent atoms, fractional coordinates:
Rb  0.0000  0.0000  0.0000 x1
Au  0.5000  0.5000  0.5000 x1
N  0.0000  0.0000  0.5000 x3

For the size of the total moment, the calculation gives 8.02 μB per formula unit. Its total energy is -2.811 eV per atom.


Record 4
Material: YMn2Cd
Method: DFT, GGA-PBEsol
State: optimized geometry

a = 4.4271 Å, b = 3.0881 Å, c = 10.7960 Å
α = 90.00°, β = 90.00°, γ = 90.00°
Space group Amm2 (No. 38)
Inequivalent atoms, fractional coordinates:
Y  0.0000  0.0000  0.0000 x2
Mn  0.0000  0.0000  0.2694 x2
Mn  0.5000  0.0000  0.3904 x2
Cd  0.5000  0.0000  0.6690 x2

The offset from the most stable computed form is 0 meV/atom. For the size of the total moment, the calculation gives 6.00 μB per formula unit. The calculation puts the energy of formation at 0.3748 eV per atom.


Record 5
Material: CdCu4Pb
Method: DFT, GGA-PBEsol
State: optimized geometry

a = 7.1105 Å, b = 7.1105 Å, c = 7.1105 Å
α = 90.00°, β = 90.00°, γ = 90.00°
Space group F-43m (No. 216)
Inequivalent atoms, fractional coordinates:
Cd  0.0000  0.0000  0.0000 x4
Cu  0.1258  0.1258  0.3742 x16
Pb  0.2500  0.2500  0.7500 x4

For the size of the total moment, the calculation gives 0.00 μB per formula unit. The calculation puts the energy of formation at 0.0910 eV per atom.


Record 6
Material: KCeP4O12
Method: DFT, GGA-PBEsol
State: optimized geometry

a = 7.3275 Å, b = 8.5187 Å, c = 8.0484 Å
α = 90.00°, β = 91.88°, γ = 90.00°
Space group P2_1 (No. 4)
Inequivalent atoms, fractional coordinates:
K  0.2310  0.0000  0.2811 x2
Ce  0.2648  0.3202  0.7577 x2
P  0.0678  0.9436  0.9019 x2
P  0.1203  0.5721  0.3964 x2
P  0.3995  0.7417  0.8947 x2
P  0.4994  0.9688  0.6185 x2
O  0.0356  0.7262  0.3499 x2
O  0.0446  0.4369  0.2723 x2
O  0.0597  0.4108  0.9603 x2
O  0.1081  0.5127  0.5704 x2
O  0.1852  0.0860  0.9255 x2
O  0.1888  0.7894  0.8715 x2
O  0.3299  0.5825  0.3454 x2
O  0.3306  0.0681  0.6121 x2
O  0.4175  0.5814  0.8219 x2
O  0.4635  0.7721  0.0708 x2
O  0.4689  0.3678  0.5305 x2
O  0.4895  0.3649  0.2159 x2

The offset from the most stable computed form is 2 meV/atom. For the size of the total moment, the calculation gives 1.00 μB per formula unit.


Record 7
Material: CsTmMo2O8
Method: DFT, GGA-PBEsol
State: optimized geometry

a = 10.6103 Å, b = 10.3661 Å, c = 7.5902 Å
α = 90.00°, β = 130.62°, γ = 90.00°
Space group C2/c (No. 15)
Inequivalent atoms, fractional coordinates:
Cs  0.0000  0.1950  0.2500 x4
Tm  0.0000  0.2299  0.7500 x4
Mo  0.1948  0.4981  0.7322 x8
O  0.0226  0.3911  0.9660 x8
O  0.1327  0.0816  0.7041 x8
O  0.1867  0.4295  0.4327 x8
O  0.2231  0.1573  0.1237 x8

For the size of the total moment, the calculation gives 0.00 μB per formula unit. Its total energy is -8.392 eV per atom.


Record 8
Material: KOsO3
Method: DFT, GGA-PBEsol
State: optimized geometry

a = 3.8845 Å, b = 3.8845 Å, c = 3.8845 Å
α = 90.00°, β = 90.00°, γ = 90.00°
Space group Pm-3m (No. 221)
Inequivalent atoms, fractional coordinates:
K  0.0000  0.0000  0.0000 x1
Os  0.5000  0.5000  0.5000 x1
O  0.0000  0.5000  0.5000 x3

For the size of the total moment, the calculation gives 0.00 μB per formula unit. Its total energy is -7.077 eV per atom.


Record 9
Material: TlGaO2
Method: DFT, GGA-PBEsol
State: optimized geometry

a = 3.0382 Å, b = 3.0382 Å, c = 20.3530 Å
α = 90.00°, β = 90.00°, γ = 120.00°
Space group R-3m (No. 166, hexagonal axes)
Inequivalent atoms, fractional coordinates:
Tl  0.0000  0.0000  0.0000 x3
Ga  0.0000  0.0000  0.5000 x3
O  0.0000  0.0000  0.1178 x6

The offset from the most stable computed form is 113 meV/atom. For the size of the total moment, the calculation gives 0.00 μB per formula unit.


Record 10
Material: CrPt2SeN
Method: DFT, GGA-PBEsol
State: optimized geometry

a = 4.7609 Å, b = 4.7609 Å, c = 3.4388 Å
α = 90.00°, β = 90.00°, γ = 90.00°
Space group P4/mmm (No. 123)
Inequivalent atoms, fractional coordinates:
Cr  0.0000  0.0000  0.0000 x1
Pt  0.0000  0.5000  0.0000 x2
Se  0.5000  0.5000  0.5000 x1
N  0.0000  0.0000  0.5000 x1

For the size of the total moment, the calculation gives 0.00 μB per formula unit. Its total energy is -6.598 eV per atom.


Record 11
Material: Mg2MnGa3
Method: DFT, GGA-PBEsol
State: optimized geometry

a = 5.3452 Å, b = 8.5373 Å, c = 8.4314 Å
α = 90.00°, β = 90.00°, γ = 90.00°
Space group Cmcm (No. 63)
Inequivalent atoms, fractional coordinates:
Mg  0.0000  0.1732  0.0664 x8
Mn  0.0000  0.3424  0.7500 x4
Ga  0.0000  0.5000  0.0000 x4
Ga  0.2366  0.0918  0.7500 x8

For the size of the total moment, the calculation gives 1.52 μB per formula unit. The calculation puts the energy of formation at -0.1814 eV per atom.


Record 12
Material: MgIrW2
Method: DFT, GGA-PBEsol
State: optimized geometry

a = 2.7391 Å, b = 4.3606 Å, c = 5.2605 Å
α = 90.00°, β = 103.44°, γ = 90.00°
Space group P2/m (No. 10)
Inequivalent atoms, fractional coordinates:
Mg  0.0000  0.0000  0.0000 x1
Ir  0.0000  0.0000  0.5000 x1
W  0.4921  0.5000  0.7517 x2

For the size of the total moment, the calculation gives 0.00 μB per formula unit. The calculation puts the energy of formation at 0.1605 eV per atom.